Compound: ScS
Source: the Alexandria database
Functional: PBE
Structure: optimized geometry

```
ScS
1.0
3.621 0.000 0.000
0.000 9.871 0.000
0.000 0.000 7.385
Sc S
6 6
Direct
0.000 0.757 0.881
0.000 0.243 0.881
0.000 0.257 0.381
0.000 0.743 0.381
0.500 0.000 0.609
0.500 0.500 0.109
0.500 0.741 0.629
0.500 0.259 0.629
0.500 0.759 0.129
0.000 0.000 0.373
0.500 0.241 0.129
0.000 0.500 0.873
```

Calculated values
total magnetization	0.00	μB/atom
space-group type	Amm2
ΔE_f (raw)	-1594	meV/atom
final energy	-13.65	eV/f.u.
calculated density	2.907	g/cm3